#w
Computed, not measured: crystalline TePHI2 at its relaxed geometry at the PBE level of DFT.

Structure (POSCAR):
```
TePHI2
1.0
5.623 0.000 0.000
0.000 5.623 0.000
0.000 0.000 5.220
Te P H I
1 1 1 2
Direct
0.000 0.000 0.000
0.000 0.000 0.500
0.500 0.500 0.000
0.000 0.500 0.500
0.500 0.000 0.500
```

The volume is 165 Å³/f.u.


#x
Computed, not measured: crystalline TePHI2 at its relaxed geometry at the PBE level of DFT.

Structure (POSCAR):
```
TePHI2
1.0
5.591 0.000 0.000
0.000 5.591 0.000
0.000 0.000 3.853
Te P H I
1 1 1 2
Direct
0.000 0.000 0.000
0.500 0.500 0.000
0.000 0.000 0.500
0.000 0.500 0.500
0.500 0.000 0.500
```

The volume is 120 Å³/f.u.


Preferred: #w; penalty for the next structure: 141 meV/atom.


#w
Computed, not measured: crystalline PaH2I6 at its relaxed geometry at the PBE level of DFT.

Structure (POSCAR):
```
PaH2I6
1.0
3.836 0.000 0.000
1.520 9.072 0.000
0.833 4.034 10.892
Pa H I
1 2 6
Direct
0.000 0.000 0.000
0.293 0.426 0.355
0.707 0.574 0.645
0.039 0.675 0.615
0.390 0.282 0.999
0.489 0.897 0.235
0.511 0.103 0.765
0.610 0.718 0.001
0.961 0.325 0.385
```

The volume is 379 Å³/f.u.


#x
Computed, not measured: crystalline PaH2I6 at its relaxed geometry at the PBE level of DFT.

Structure (POSCAR):
```
PaH2I6
1.0
7.781 0.000 0.000
0.000 8.213 0.000
-5.649 0.000 11.957
Pa H I
2 4 12
Direct
0.000 0.000 0.000
0.000 0.500 0.500
0.003 0.227 0.256
0.003 0.273 0.756
0.997 0.727 0.244
0.997 0.773 0.744
0.001 0.009 0.242
0.001 0.491 0.742
0.273 0.733 0.073
0.273 0.767 0.573
0.316 0.230 0.074
0.316 0.270 0.574
0.684 0.730 0.426
0.684 0.770 0.926
0.727 0.233 0.427
0.727 0.267 0.927
0.999 0.509 0.258
0.999 0.991 0.758
```

The volume is 382 Å³/f.u.


Preferred: #w; penalty for the next structure: 25 meV/atom.


#w
Computed, not measured: crystalline PaH2I8 at its relaxed geometry at the PBE level of DFT.

Structure (POSCAR):
```
PaH2I8
1.0
6.682 -5.164 0.000
6.682 5.164 0.000
-0.357 0.000 7.478
Pa H I
1 2 8
Direct
0.000 0.000 0.000
0.270 0.270 0.267
0.730 0.730 0.733
0.105 0.702 0.773
0.173 0.173 0.772
0.298 0.895 0.227
0.392 0.392 0.300
0.608 0.608 0.700
0.702 0.105 0.773
0.827 0.827 0.228
0.895 0.298 0.227
```

The volume is 516 Å³/f.u.


#x
Computed, not measured: crystalline PaH2I8 at its relaxed geometry at the PBE level of DFT.

Structure (POSCAR):
```
PaH2I8
1.0
6.287 -6.173 0.000
6.287 6.173 0.000
-2.662 0.000 6.779
Pa H I
1 2 8
Direct
0.000 0.000 0.000
0.160 0.160 0.650
0.840 0.840 0.350
0.074 0.737 0.698
0.230 0.230 0.893
0.263 0.926 0.302
0.379 0.379 0.433
0.621 0.621 0.567
0.737 0.074 0.698
0.770 0.770 0.107
0.926 0.263 0.302
```

The volume is 526 Å³/f.u.


Preferred: #w; penalty for the next structure: 81 meV/atom.


#w
Computed, not measured: crystalline HPb3I at its relaxed geometry at the PBE level of DFT.

Structure (POSCAR):
```
HPb3I
1.0
5.156 0.000 0.000
0.000 5.156 0.000
0.000 0.000 5.156
H Pb I
1 3 1
Direct
0.000 0.000 0.000
0.000 0.000 0.500
0.000 0.500 0.000
0.500 0.000 0.000
0.500 0.500 0.500
```

The volume is 137 Å³/f.u.


#x
Computed, not measured: crystalline HPb3I at its relaxed geometry at the PBE level of DFT.

Structure (POSCAR):
```
HPb3I
1.0
6.097 0.000 0.000
0.000 6.097 0.000
0.000 0.000 6.097
H Pb I
1 3 1
Direct
0.000 0.000 0.000
0.000 0.500 0.500
0.500 0.000 0.500
0.500 0.500 0.000
0.500 0.500 0.500
```

The volume is 227 Å³/f.u.


Preferred: #w; penalty for the next structure: 797 meV/atom.